1.
A plane-wave DFT calculation with PBE was carried out for a relaxed LaPr2SmSe3O4 crystal.

Cell lengths 8.458, 6.819, 6.819 Å; angles 34.34, 90.00, 90.00 degrees
Positions (direct):
La (0.000, 0.000, 0.000)
Pr (0.239, 0.686, 0.686)
Pr (0.761, 0.686, 0.686)
Sm (0.500, 0.020, 0.020)
Se (0.000, 0.310, 0.310)
Se (0.351, 0.360, 0.360)
Se (0.649, 0.360, 0.360)
O (0.000, 0.589, 0.589)
O (0.248, 0.089, 0.089)
O (0.500, 0.614, 0.614)
O (0.752, 0.089, 0.089)

Output
Volume   20.169 Å³/atom
Excess energy over the best structure of this formula in the dataset   0 meV/atom

2.
A plane-wave DFT calculation with PBE was carried out for a relaxed LaPr2SmSe3O4 crystal.

Cell lengths 8.498, 6.788, 6.788 Å; angles 34.62, 90.00, 90.00 degrees
Positions (direct):
La (0.000, 0.000, 0.000)
Pr (0.265, 0.669, 0.669)
Pr (0.735, 0.669, 0.669)
Sm (0.500, 0.987, 0.987)
Se (0.149, 0.338, 0.338)
Se (0.500, 0.301, 0.301)
Se (0.851, 0.338, 0.338)
O (0.000, 0.600, 0.600)
O (0.260, 0.071, 0.071)
O (0.500, 0.570, 0.570)
O (0.740, 0.071, 0.071)

Output
Volume   20.222 Å³/atom
Excess energy over the best structure of this formula in the dataset   4 meV/atom

3.
A plane-wave DFT calculation with PBE was carried out for a relaxed LaPrSm2Se3O4 crystal.

Cell lengths 8.410, 6.789, 6.789 Å; angles 34.35, 90.00, 90.00 degrees
Positions (direct):
La (0.000, 0.000, 0.000)
Pr (0.500, 0.017, 0.017)
Sm (0.238, 0.684, 0.684)
Sm (0.762, 0.684, 0.684)
Se (0.000, 0.310, 0.310)
Se (0.348, 0.355, 0.355)
Se (0.652, 0.355, 0.355)
O (0.000, 0.591, 0.591)
O (0.245, 0.092, 0.092)
O (0.500, 0.619, 0.619)
O (0.755, 0.092, 0.092)

Output
Volume   19.882 Å³/atom
Excess energy over the best structure of this formula in the dataset   0 meV/atom

4.
A plane-wave DFT calculation with PBE was carried out for a relaxed LaPr2Ta2O6 crystal.

Cell lengths 10.147, 10.147, 10.147 Å; angles 157.04, 157.04, 32.69 degrees
Positions (direct):
La (0.000, 0.000, 0.000)
Pr (0.181, 0.181, 0.000)
Pr (0.819, 0.819, 0.000)
Ta (0.431, 0.431, 0.000)
Ta (0.569, 0.569, 0.000)
O (0.095, 0.595, 0.500)
O (0.296, 0.296, 0.000)
O (0.405, 0.905, 0.500)
O (0.595, 0.095, 0.500)
O (0.704, 0.704, 0.000)
O (0.905, 0.405, 0.500)

Output
Volume   14.436 Å³/atom
E   -8.710 eV/atom